PuAl7Zn12 | PBE-GGA | optimized geometry

Properties
VASP energy = -2.774 eV per atom
Density of states at the Fermi level = 0.463 states/eV/atom
Mass density = 6.0 g/cm³

Cell: 6.3231 8.1423 8.1423 Å, 113.55 105.00 105.00°
Each line ends with the local moment (μB).
Element x y z (fractional)
Pu  0.0000  0.0000  0.0000  5.30
Al  0.1892  0.6610  0.0000  -0.01
Al  0.8108  0.0000  0.3390  -0.01
Al  0.4718  0.6610  0.6610  -0.01
Al  0.5000  0.0000  0.0000  -0.01
Al  0.5282  0.3390  0.3390  -0.01
Al  0.1892  0.0000  0.6610  -0.01
Al  0.8108  0.3390  0.0000  -0.01
Zn  0.2651  0.5302  0.2651  -0.01
Zn  0.0000  0.2651  0.7349  -0.01
Zn  0.6033  0.6614  0.0000  -0.01
Zn  0.3967  0.0000  0.3386  -0.01
Zn  0.2651  0.2651  0.5302  -0.01
Zn  0.0580  0.6614  0.6614  -0.01
Zn  0.9420  0.3386  0.3386  -0.01
Zn  0.7349  0.7349  0.4698  -0.01
Zn  0.6033  0.0000  0.6614  -0.01
Zn  0.3967  0.3386  0.0000  -0.01
Zn  0.0000  0.7349  0.2651  -0.01
Zn  0.7349  0.4698  0.7349  -0.01